The following is a PBE calculation of a relaxed Ca2Pr5Tl4 crystal, from Alexandria.

Calculated values
* theoretical density: 7.08 g/cm3
* crystal system: monoclinic
* E_tot: -3.552 eV/atom
* DOS(E_F): 1.14 states/eV per atom
* magnetization: 0.0 μB/f.u.

abc: 11.5216 11.5216 8.8645
angles: 100.97 100.97 18.98
Element x y z (fractional)
Ca  0.0695  0.0695  0.1422
Ca  0.9305  0.9305  0.8578
Pr  0.0000  0.0000  0.5000
Pr  0.3173  0.3173  0.0465
Pr  0.3490  0.3490  0.4926
Pr  0.6510  0.6510  0.5074
Pr  0.6827  0.6827  0.9535
Tl  0.2136  0.2136  0.2737
Tl  0.4546  0.4546  0.2011
Tl  0.5454  0.5454  0.7989
Tl  0.7864  0.7864  0.7263